A plane-wave DFT calculation with PBE+U was carried out for a relaxed Ni17As12O48 crystal.

Output
Density of states at the Fermi level, states/eV/cell: 16.3
Total DFT energy (no corrections), eV/atom: -5.54
Calculated volume, Å³/atom: 11.4

Lattice parameters (Å, degrees): 10.466 10.466 9.759 90.20 90.20 124.50
Fractional positions:
1 Ni 0.000 0.000 0.000
2 Ni 0.348 0.145 0.504
3 Ni 0.351 0.648 0.255
4 Ni 0.352 0.649 0.745
5 Ni 0.353 0.150 0.998
6 Ni 0.447 0.043 0.252
7 Ni 0.453 0.547 0.000
8 Ni 0.500 0.500 0.500
9 Ni 0.503 0.004 0.751
10 Ni 0.741 0.259 0.000
11 Ni 0.848 0.143 0.253
12 Ni 0.850 0.647 0.002
13 Ni 0.855 0.652 0.496
14 Ni 0.857 0.152 0.747
15 Ni 0.954 0.046 0.500
16 Ni 0.957 0.553 0.748
17 Ni 0.996 0.497 0.249
18 As 0.052 0.849 0.296
19 As 0.058 0.351 0.950
20 As 0.149 0.445 0.547
21 As 0.151 0.948 0.704
22 As 0.225 0.271 0.251
23 As 0.229 0.771 0.000
24 As 0.555 0.851 0.453
25 As 0.558 0.357 0.799
26 As 0.643 0.442 0.201
27 As 0.649 0.942 0.050
28 As 0.724 0.276 0.500
29 As 0.729 0.775 0.749
30 O 0.003 0.257 0.583
31 O 0.005 0.760 0.664
32 O 0.007 0.671 0.354
33 O 0.019 0.178 0.888
34 O 0.046 0.179 0.326
35 O 0.048 0.679 0.925
36 O 0.144 0.573 0.658
37 O 0.146 0.077 0.595
38 O 0.162 0.503 0.380
39 O 0.167 0.005 0.872
40 O 0.193 0.650 0.137
41 O 0.194 0.154 0.113
42 O 0.240 0.995 0.336
43 O 0.243 0.502 0.916
44 O 0.309 0.450 0.173
45 O 0.321 0.952 0.075
46 O 0.326 0.488 0.609
47 O 0.329 0.993 0.646
48 O 0.347 0.305 0.387
49 O 0.350 0.807 0.863
50 O 0.425 0.358 0.903
51 O 0.427 0.856 0.342
52 O 0.496 0.252 0.166
53 O 0.497 0.838 0.620
54 O 0.498 0.757 0.084
55 O 0.500 0.333 0.632
56 O 0.512 0.674 0.391
57 O 0.541 0.178 0.426
58 O 0.543 0.193 0.873
59 O 0.550 0.691 0.827
60 O 0.642 0.082 0.148
61 O 0.642 0.575 0.097
62 O 0.667 0.500 0.368
63 O 0.675 0.032 0.892
64 O 0.695 0.653 0.613
65 O 0.696 0.160 0.638
66 O 0.743 0.997 0.417
67 O 0.748 0.504 0.834
68 O 0.807 0.457 0.127
69 O 0.821 0.954 0.674
70 O 0.822 0.459 0.574
71 O 0.822 0.981 0.112
72 O 0.840 0.304 0.362
73 O 0.846 0.806 0.887
74 O 0.918 0.358 0.852
75 O 0.923 0.854 0.405
76 O 0.968 0.325 0.108
77 O 0.995 0.833 0.128